Ta4AgMo (PBE, optimized geometry); crystal system = cubic; D(E_F) = 4.5 states/eV/f.u.; calculated formation energy = 0.523 eV/atom; magnetization = 0.0 μB/cell; total DFT energy (no corrections) = -57.96 eV per cell
1.0
0.000 3.825 3.825
3.825 0.000 3.825
3.825 3.825 0.000
Ta Ag Mo
4 1 1
Direct
0.377 0.377 0.377
0.377 0.377 0.869
0.377 0.869 0.377
0.869 0.377 0.377
0.000 0.000 0.000
0.750 0.750 0.750